Ca3V2O8: optimized geometry, GGA+U.

a b c (Å): 5.819 5.819 6.800
angles (deg): 110.54 110.54 57.57
Positions (direct):
Ca 0.000 0.000 0.000
Ca 0.168 0.168 0.579
Ca 0.832 0.832 0.421
V 0.389 0.389 0.204
V 0.611 0.611 0.796
O 0.229 0.751 0.289
O 0.249 0.771 0.711
O 0.255 0.255 0.306
O 0.317 0.317 0.930
O 0.683 0.683 0.070
O 0.745 0.745 0.694
O 0.751 0.229 0.289
O 0.771 0.249 0.711

Calculated values
* energy above the lowest structure with this stoichiometry: 32 meV per atom
* VASP energy: -7.21 eV/atom
* magnetic moment: 0.0 μB per cell
* volume: 13.70 A^3/atom